Here is an optimized crystal structure of Sr3Ir from the Alexandria database. Energies are from PBEsol.

Properties
As for the mass density: 5.63 g/cm3. The value obtained for the total magnetization is 0.00 μB/atom. As for the formation energy: -126 meV per atom.

Cell: 7.9979 9.8626 6.8060 Å, 90.00 90.00 90.00°
With the nearest neighbours (Å) after each atom.
Space group Pnma (No. 62)
Inequivalent atoms, fractional coordinates:
Sr: 0.0446 0.2500 0.1448 [4 per cell]  2 Ir 2.95-3.02
Sr: 0.1660 0.0687 0.6638 [8 per cell]  2 Ir 3.03-3.17
Ir: 0.1228 0.7500 0.4569 [4 per cell]  6 Sr 2.95-3.17

---

Here is an optimized crystal structure of CaTe2WN from the Alexandria database. Energies are from PBEsol.

Properties
As for the mass density: 7.11 g/cm3. As for the raw formation energy: -0.341 eV/atom. The value obtained for the total magnetization is 0.00 μB/atom.

Cell: 5.4806 5.4806 3.8353 Å, 90.00 90.00 90.00°
With the nearest neighbours (Å) after each atom.
Space group P4/mmm (No. 123)
Inequivalent atoms, fractional coordinates:
Ca: 0.0000 0.0000 0.0000 [1 per cell]  8 Te 3.34
Te: 0.0000 0.5000 0.5000 [2 per cell]  2 W 2.74
W: 0.5000 0.5000 0.5000 [1 per cell]  2 N 1.92
N: 0.5000 0.5000 0.0000 [1 per cell]  2 W 1.92

---

Here is an optimized crystal structure of NaHoO2 from the Alexandria database. Energies are from PBEsol.

Properties
As for the mass density: 6.89 g/cm3. As for the raw formation energy: -2.863 eV/atom. The value obtained for the total magnetization is 0.00 μB/atom.

Cell: 6.5782 13.0628 5.8711 Å, 90.00 122.77 90.00°
With the nearest neighbours (Å) after each atom.
Space group C2/c (No. 15)
Inequivalent atoms, fractional coordinates:
Na: 0.0000 0.0559 0.2500 [4 per cell]  4 O 2.40
Na: 0.0000 0.1804 0.7500 [4 per cell]  4 O 2.37-2.38
Ho: 0.0000 0.3066 0.2500 [4 per cell]  6 O 2.26-2.27
Ho: 0.0000 0.4327 0.7500 [4 per cell]  6 O 2.26-2.28
O: 0.2046 0.4365 0.2068 [8 per cell]  3 Ho 2.26-2.27, 2 Na 2.37-2.40
O: 0.2288 0.3119 0.7084 [8 per cell]  3 Ho 2.26-2.28, 2 Na 2.38-2.40

---

Here is an optimized crystal structure of BaNi2Pt from the Alexandria database. Energies are from PBEsol.

Properties
As for the mass density: 10.49 g/cm3. The value obtained for the total magnetization is 0.00 μB/atom. As for the formation energy: 232 meV per atom.

Cell: 2.9689 3.5507 6.7530 Å, 90.00 90.00 90.00°
With the nearest neighbours (Å) after each atom.
Space group Pmmm (No. 47)
Inequivalent atoms, fractional coordinates:
Ba: 0.0000 0.0000 0.0000 [1 per cell]  2 Ba 2.97, 8 Ni 3.21
Ni: 0.5000 0.5000 0.3296 [2 per cell]  1 Ni 2.30
Pt: 0.0000 0.0000 0.5000 [1 per cell]  8 Ni 2.58

---

Here is an optimized crystal structure of Mg2TiO4 from the Alexandria database. Energies are from PBEsol.

Properties
As for the mass density: 3.54 g/cm3. The energy above the most stable polymorph in this dataset comes out at 4 meV per atom. As for the raw formation energy: -2.902 eV/atom. The value obtained for the total magnetization is 0.00 μB/atom.

Cell: 16.8084 11.9666 5.9849 Å, 90.00 90.06 90.00°
With the nearest neighbours (Å) after each atom.
Space group C2 (No. 5)
Inequivalent atoms, fractional coordinates:
Mg: 0.0000 0.9998 0.0000 [2 per cell]  6 O 2.05-2.09
Mg: 0.0000 0.4982 0.5000 [2 per cell]  6 O 2.06-2.11
Mg: 0.0623 0.7477 0.7466 [4 per cell]  4 O 1.98-1.99
Mg: 0.0631 0.2480 0.7438 [4 per cell]  4 O 1.96-2.00
Mg: 0.1250 0.3732 0.2519 [4 per cell]  6 O 2.04-2.11
Mg: 0.1249 0.8742 0.2493 [4 per cell]  6 O 2.05-2.11
Mg: 0.1868 0.0000 0.7594 [4 per cell]  4 O 1.96-2.01
Mg: 0.1875 0.4992 0.7535 [4 per cell]  4 O 1.98-1.99
Mg: 0.2491 0.2482 0.5020 [4 per cell]  6 O 2.05-2.11
Ti: 0.0000 0.4919 0.0000 [2 per cell]  6 O 1.89-2.06
Ti: 0.0000 0.9929 0.5000 [2 per cell]  6 O 1.89-2.06
Ti: 0.1250 0.1247 0.2481 [4 per cell]  6 O 1.93-2.02
Ti: 0.1250 0.6226 0.2636 [4 per cell]  6 O 1.89-2.09
Ti: 0.2477 0.7549 0.9975 [4 per cell]  6 O 1.89-2.06
O: 0.0009 0.3872 0.2375 [4 per cell]  1 Ti 1.89, 3 Mg 1.99-2.10
O: 0.0007 0.8878 0.2638 [4 per cell]  1 Ti 1.89, 3 Mg 1.98-2.10
O: 0.0080 0.1155 0.2607 [4 per cell]  2 Ti 1.97-2.06, 2 Mg 1.99-2.09
O: 0.0085 0.6155 0.2388 [4 per cell]  2 Ti 1.97-2.06, 2 Mg 1.98-2.11
O: 0.1166 0.5040 0.0172 [4 per cell]  2 Ti 1.97-2.05, 2 Mg 1.98-2.11
O: 0.1182 0.0046 0.4854 [4 per cell]  2 Ti 1.99-2.02, 2 Mg 2.01-2.11
O: 0.1215 0.0054 0.0305 [4 per cell]  1 Ti 1.93, 3 Mg 1.96-2.05
O: 0.1240 0.5051 0.4739 [4 per cell]  1 Ti 1.89, 3 Mg 1.99-2.09
O: 0.1270 0.7419 0.4706 [4 per cell]  1 Ti 1.89, 3 Mg 1.98-2.09
O: 0.1277 0.2427 0.4714 [4 per cell]  1 Ti 1.94, 3 Mg 1.96-2.05
O: 0.1322 0.2419 0.0165 [4 per cell]  2 Ti 1.98-2.03, 2 Mg 2.00-2.11
O: 0.1326 0.7440 0.0139 [4 per cell]  2 Ti 1.94-2.09, 2 Mg 1.99-2.11
O: 0.2412 0.6315 0.2347 [4 per cell]  2 Ti 1.96-2.05, 2 Mg 1.98-2.11
O: 0.2421 0.1322 0.2425 [4 per cell]  2 Ti 1.97-2.06, 2 Mg 1.98-2.09
O: 0.2492 0.3603 0.2374 [4 per cell]  1 Ti 1.89, 3 Mg 1.99-2.10
O: 0.2492 0.8594 0.2355 [4 per cell]  1 Ti 1.90, 3 Mg 1.98-2.10

---

Here is an optimized crystal structure of Cr2FeCu from the Alexandria database. Energies are from PBEsol.

Properties
As for the mass density: 8.41 g/cm3. The energy above the most stable polymorph in this dataset comes out at 0 meV per atom. The value obtained for the total magnetization is 0.44 μB/atom. As for the formation energy: 197 meV per atom.

Cell: 2.8970 3.7812 8.0558 Å, 90.00 90.00 90.00°
With the nearest neighbours (Å) after each atom.
Space group Cmmm (No. 65)
Inequivalent atoms, fractional coordinates:
Cr: 0.0000 0.0000 0.2427 [4 per cell]  4 Cr 2.38, 2 Fe 2.43, 2 Cu 2.53
Fe: 0.0000 0.5000 0.0000 [2 per cell]  4 Fe 2.38, 4 Cr 2.43
Cu: 0.0000 0.5000 0.5000 [2 per cell]  4 Cu 2.38, 4 Cr 2.53